This record from Alexandria via LeMat-Bulk describes Pm2PdAu after structural relaxation. The functional is PBE.

POSCAR file:
```
Pm2PdAu
1.0
-0.6813 3.5298 0.5607
-2.9482 -0.8777 1.9431
4.0694 -0.1821 6.0920
Pm Au Pd
2 1 1
Cartesian
3.0757 -0.1377 4.6044
0.9937 -0.0445 1.4877
0.2200 1.2350 4.2979
-1.8148 1.3260 1.2519
```

- DOS at the Fermi energy (states/eV/f.u.) = 3.162
- calculated formation energy (eV/atom) = -0.773
- total energy (eV per atom) = -5.266
- size of the total moment (μB per formula unit) = 0.00